No. 1
VASP calculation (PBE-GGA) on a geometry-optimized Ce2NpU2Ru4 structure.

abc: 8.255 8.255 4.099
angles: 102.11 102.11 43.74
Sites, in units of the cell vectors:
Ce 0.211 0.211 0.446
Ce 0.789 0.789 0.554
Np 0.000 0.000 0.000
U 0.437 0.437 0.681
U 0.563 0.563 0.319
Ru 0.126 0.598 0.114
Ru 0.402 0.874 0.886
Ru 0.598 0.126 0.114
Ru 0.874 0.402 0.886

Output
SG = C2/m (12)
M_tot = 0.83 μB/atom
D(E_F) = 18.15 states/eV/cell
final energy = -9.48 eV/atom

=====

No. 2
VASP calculation (PBE-GGA) on a geometry-optimized Ce2NpS6 structure.

abc: 7.302 7.302 4.030
angles: 90.00 90.00 120.00
Sites, in units of the cell vectors:
Ce 0.333 0.667 0.000
Ce 0.667 0.333 0.000
Np 0.000 0.000 0.500
S 0.000 0.404 0.500
S 0.000 0.747 0.000
S 0.253 0.253 0.000
S 0.404 0.000 0.500
S 0.596 0.596 0.500
S 0.747 0.000 0.000

Output
SG = P-62m (189)
energy relative to the lowest polymorph listed for this composition = 29 meV/atom
M_tot = 0.34 μB/atom
D(E_F) = 15.00 states/eV/cell

=====

No. 3
VASP calculation (PBE-GGA) on a geometry-optimized CeNpS2 structure.

abc: 7.353 7.353 7.353
angles: 30.39 30.39 30.39
Sites, in units of the cell vectors:
Ce 0.000 0.000 0.000
Np 0.825 0.825 0.825
S 0.414 0.414 0.414
S 0.578 0.578 0.578

Output
SG = R3m (160)
energy relative to the lowest polymorph listed for this composition = 167 meV/atom
M_tot = 1.30 μB/atom
D(E_F) = 12.85 states/eV/cell

=====

No. 4
VASP calculation (PBE-GGA) on a geometry-optimized CeNp4S6 structure.

abc: 6.700 6.700 19.640
angles: 90.00 90.00 146.20
Sites, in units of the cell vectors:
Ce 0.160 0.840 0.750
Ce 0.840 0.160 0.250
Np 0.091 0.909 0.127
Np 0.091 0.909 0.373
Np 0.361 0.639 0.039
Np 0.361 0.639 0.461
Np 0.639 0.361 0.539
Np 0.639 0.361 0.961
Np 0.909 0.091 0.627
Np 0.909 0.091 0.873
S 0.000 0.000 0.000
S 0.000 0.000 0.500
S 0.183 0.817 0.250
S 0.267 0.733 0.592
S 0.267 0.733 0.908
S 0.454 0.546 0.167
S 0.454 0.546 0.333
S 0.546 0.454 0.667
S 0.546 0.454 0.833
S 0.733 0.267 0.092
S 0.733 0.267 0.408
S 0.817 0.183 0.750

Output
SG = Cmcm (63)
M_tot = 0.08 μB/atom
D(E_F) = 80.71 states/eV/cell
final energy = -8.96 eV/atom

=====

No. 5
VASP calculation (PBE-GGA) on a geometry-optimized Ce2NpS6 structure.

abc: 7.990 7.990 7.990
angles: 146.50 131.81 59.97
Sites, in units of the cell vectors:
Ce 0.166 0.166 0.000
Ce 0.834 0.834 0.000
Np 0.500 0.500 0.000
S 0.090 0.336 0.754
S 0.257 0.000 0.257
S 0.418 0.664 0.754
S 0.582 0.336 0.246
S 0.743 0.000 0.743
S 0.910 0.664 0.246

Output
SG = Immm (71)
energy relative to the lowest polymorph listed for this composition = 0 meV/atom
M_tot = 0.35 μB/atom
D(E_F) = 14.34 states/eV/cell

=====

No. 6
VASP calculation (PBE-GGA) on a geometry-optimized Ce4NpS5 structure.

abc: 14.419 14.419 14.419
angles: 164.09 164.09 22.57
Sites, in units of the cell vectors:
Ce 0.100 0.100 0.000
Ce 0.300 0.300 0.000
Ce 0.700 0.700 0.000
Ce 0.900 0.900 0.000
Np 0.500 0.500 0.000
S 0.000 0.000 0.000
S 0.200 0.200 0.000
S 0.401 0.401 0.000
S 0.599 0.599 0.000
S 0.800 0.800 0.000

Output
SG = I4/mmm (139)
M_tot = 0.26 μB/atom
D(E_F) = 21.38 states/eV/cell
final energy = -7.64 eV/atom

=====

No. 7
VASP calculation (PBE-GGA) on a geometry-optimized CeNpS2 structure.

abc: 6.823 6.823 6.823
angles: 33.78 33.78 33.78
Sites, in units of the cell vectors:
Ce 0.000 0.000 0.000
Np 0.500 0.500 0.500
S 0.246 0.246 0.246
S 0.754 0.754 0.754

Output
SG = R-3m (166)
energy relative to the lowest polymorph listed for this composition = 0 meV/atom
M_tot = 1.15 μB/atom
D(E_F) = 7.21 states/eV/cell

=====

No. 8
VASP calculation (PBE-GGA) on a geometry-optimized Ce3NpS4 structure.

abc: 6.906 6.906 3.988
angles: 90.00 90.00 109.50
Sites, in units of the cell vectors:
Ce 0.000 0.000 0.000
Ce 0.000 0.500 0.500
Ce 0.500 0.000 0.500
Np 0.500 0.500 0.000
S 0.253 0.747 0.000
S 0.257 0.257 0.500
S 0.743 0.743 0.500
S 0.747 0.253 0.000

Output
SG = Cmmm (65)
M_tot = 0.59 μB/atom
D(E_F) = 16.28 states/eV/cell
final energy = -7.79 eV/atom